P:
## BaHSe2N (PBE)

Data for an optimized crystal structure of BaHSe2N.

Unit cell a=4.060 b=4.060 c=6.062 alpha=90.00 beta=90.00 gamma=90.00
Sites, in units of the cell vectors:
Ba (0.000, 0.000, 0.000)
H (0.500, 0.500, 0.500)
Se (0.000, 0.500, 0.500)
Se (0.500, 0.000, 0.500)
N (0.500, 0.500, 0.000)

Output
Mass density (g cm⁻³): 5.2

Q:
## BaHSe2N (PBE)

Data for an optimized crystal structure of BaHSe2N.

Unit cell a=6.582 b=6.582 c=5.502 alpha=90.00 beta=90.00 gamma=90.00
Sites, in units of the cell vectors:
Ba (0.000, 0.000, 0.000)
H (0.500, 0.500, 0.500)
Se (0.000, 0.500, 0.000)
Se (0.500, 0.000, 0.000)
N (0.000, 0.000, 0.500)

Output
Mass density (g cm⁻³): 2.2

Name the most stable of them. P.

P:
## BaTe2HN (PBE)

Data for an optimized crystal structure of BaTe2HN.

Unit cell a=7.012 b=7.012 c=5.408 alpha=90.00 beta=90.00 gamma=90.00
Sites, in units of the cell vectors:
Ba (0.000, 0.000, 0.000)
Te (0.000, 0.500, 0.000)
Te (0.500, 0.000, 0.000)
H (0.500, 0.500, 0.500)
N (0.000, 0.000, 0.500)

Output
Mass density (g cm⁻³): 2.5

Q:
## BaTe2HN (PBE)

Data for an optimized crystal structure of BaTe2HN.

Unit cell a=4.398 b=4.398 c=6.296 alpha=90.00 beta=90.00 gamma=90.00
Sites, in units of the cell vectors:
Ba (0.000, 0.000, 0.000)
Te (0.000, 0.500, 0.500)
Te (0.500, 0.000, 0.500)
H (0.500, 0.500, 0.500)
N (0.500, 0.500, 0.000)

Output
Mass density (g cm⁻³): 5.6

Name the most stable of them. Q.

P:
## Ba2NaH (PBE)

Data for an optimized crystal structure of Ba2NaH.

Unit cell a=10.300 b=10.300 c=10.300 alpha=23.84 beta=23.84 gamma=23.84
Sites, in units of the cell vectors:
Ba (0.221, 0.221, 0.221)
Ba (0.779, 0.779, 0.779)
Na (0.000, 0.000, 0.000)
H (0.500, 0.500, 0.500)

Output
Mass density (g cm⁻³): 3.2

Q:
## Ba2NaH (PBE)

Data for an optimized crystal structure of Ba2NaH.

Unit cell a=7.533 b=7.533 c=7.533 alpha=112.37 beta=112.37 gamma=103.81
Sites, in units of the cell vectors:
Ba (0.004, 0.625, 0.879)
Ba (0.375, 0.254, 0.379)
Ba (0.746, 0.125, 0.121)
Ba (0.875, 0.996, 0.621)
Na (0.250, 0.750, 0.500)
Na (0.500, 0.500, 0.000)
H (0.000, 0.000, 0.000)
H (0.750, 0.250, 0.500)

Output
Mass density (g cm⁻³): 3.0

R:
## Ba2NaH (PBE)

Data for an optimized crystal structure of Ba2NaH.

Unit cell a=10.015 b=7.638 c=8.727 alpha=90.00 beta=97.56 gamma=90.00
Sites, in units of the cell vectors:
Ba (0.078, 0.155, 0.314)
Ba (0.078, 0.345, 0.814)
Ba (0.275, 0.658, 0.509)
Ba (0.275, 0.842, 0.009)
Ba (0.725, 0.158, 0.991)
Ba (0.725, 0.342, 0.491)
Ba (0.922, 0.655, 0.186)
Ba (0.922, 0.845, 0.686)
Na (0.402, 0.137, 0.653)
Na (0.402, 0.363, 0.153)
Na (0.598, 0.637, 0.847)
Na (0.598, 0.863, 0.347)
H (0.156, 0.674, 0.765)
H (0.156, 0.826, 0.265)
H (0.844, 0.174, 0.735)
H (0.844, 0.326, 0.235)

Output
Mass density (g cm⁻³): 3.0

S:
## Ba2NaH (PBE)

Data for an optimized crystal structure of Ba2NaH.

Unit cell a=6.105 b=6.105 c=6.105 alpha=60.00 beta=60.00 gamma=60.00
Sites, in units of the cell vectors:
Ba (0.250, 0.250, 0.250)
Ba (0.750, 0.750, 0.750)
Na (0.000, 0.000, 0.000)
H (0.500, 0.500, 0.500)

Output
Mass density (g cm⁻³): 3.1

Name the most stable of them. R.

P:
## BaNaH (PBE)

Data for an optimized crystal structure of BaNaH.

Unit cell a=4.427 b=4.427 c=6.354 alpha=90.00 beta=90.00 gamma=120.00
Sites, in units of the cell vectors:
Ba (0.000, 0.000, 0.000)
Na (0.333, 0.667, 0.500)
H (0.667, 0.333, 0.002)

Output
Mass density (g cm⁻³): 2.5

Q:
## BaNaH (PBE)

Data for an optimized crystal structure of BaNaH.

Unit cell a=9.758 b=9.758 c=9.758 alpha=106.03 beta=96.94 gamma=127.08
Sites, in units of the cell vectors:
Ba (0.184, 0.014, 0.198)
Ba (0.184, 0.486, 0.670)
Ba (0.604, 0.390, 0.714)
Ba (0.677, 0.890, 0.286)
Ba (0.816, 0.514, 0.330)
Ba (0.816, 0.986, 0.802)
Na (0.062, 0.024, 0.538)
Na (0.065, 0.550, 0.014)
Na (0.089, 0.353, 0.236)
Na (0.118, 0.853, 0.764)
Na (0.486, 0.524, 0.462)
Na (0.536, 0.050, 0.986)
H (0.075, 0.075, 0.000)
H (0.075, 0.575, 0.500)
H (0.532, 0.296, 0.409)
H (0.532, 0.622, 0.736)
H (0.887, 0.122, 0.591)
H (0.887, 0.796, 0.264)

Output
Mass density (g cm⁻³): 2.4

Name the most stable of them. P.

P:
## BaNa2PH (PBE)

Data for an optimized crystal structure of BaNa2PH.

Unit cell a=4.677 b=4.677 c=5.365 alpha=90.00 beta=90.00 gamma=90.00
Sites, in units of the cell vectors:
Ba (0.000, 0.000, 0.000)
Na (0.000, 0.500, 0.500)
Na (0.500, 0.000, 0.500)
P (0.500, 0.500, 0.000)
H (0.000, 0.000, 0.500)

Output
Mass density (g cm⁻³): 3.0

Q:
## BaNa2PH (PBE)

Data for an optimized crystal structure of BaNa2PH.

Unit cell a=6.438 b=6.438 c=8.753 alpha=90.00 beta=90.00 gamma=139.27
Sites, in units of the cell vectors:
Ba (0.055, 0.945, 0.750)
Ba (0.945, 0.055, 0.250)
Na (0.326, 0.674, 0.565)
Na (0.326, 0.674, 0.935)
Na (0.674, 0.326, 0.065)
Na (0.674, 0.326, 0.435)
P (0.238, 0.762, 0.250)
P (0.762, 0.238, 0.750)
H (0.500, 0.500, 0.000)
H (0.500, 0.500, 0.500)

Output
Mass density (g cm⁻³): 3.0

Name the most stable of them. Q.

P:
## Ba2NaHPt (PBE)

Data for an optimized crystal structure of Ba2NaHPt.

Unit cell a=5.740 b=5.740 c=4.114 alpha=90.00 beta=90.00 gamma=90.00
Sites, in units of the cell vectors:
Ba (0.000, 0.500, 0.000)
Ba (0.500, 0.000, 0.000)
Na (0.000, 0.000, 0.500)
H (0.500, 0.500, 0.000)
Pt (0.500, 0.500, 0.500)

Output
Mass density (g cm⁻³): 6.0

Q:
## Ba2NaHPt (PBE)

Data for an optimized crystal structure of Ba2NaHPt.

Unit cell a=5.444 b=5.444 c=4.468 alpha=90.00 beta=90.00 gamma=90.00
Sites, in units of the cell vectors:
Ba (0.000, 0.500, 0.000)
Ba (0.500, 0.000, 0.000)
Na (0.000, 0.000, 0.500)
H (0.000, 0.000, 0.000)
Pt (0.500, 0.500, 0.500)

Output
Mass density (g cm⁻³): 6.2

Name the most stable of them. Q.

P:
## RbBa2NaH (PBE)

Data for an optimized crystal structure of RbBa2NaH.

Unit cell a=5.790 b=5.790 c=6.960 alpha=90.00 beta=90.00 gamma=90.00
Sites, in units of the cell vectors:
Rb (0.000, 0.000, 0.000)
Ba (0.000, 0.500, 0.500)
Ba (0.500, 0.000, 0.500)
Na (0.500, 0.500, 0.000)
H (0.500, 0.500, 0.500)

Output
Mass density (g cm⁻³): 2.7

Q:
## RbBa2NaH (PBE)

Data for an optimized crystal structure of RbBa2NaH.

Unit cell a=5.846 b=5.846 c=6.587 alpha=90.00 beta=90.00 gamma=90.00
Sites, in units of the cell vectors:
Rb (0.000, 0.000, 0.000)
Ba (0.000, 0.500, 0.500)
Ba (0.500, 0.000, 0.500)
Na (0.500, 0.500, 0.000)
H (0.000, 0.000, 0.500)

Output
Mass density (g cm⁻³): 2.8

Name the most stable of them. Q.

P:
## Ba2NaHRh (PBE)

Data for an optimized crystal structure of Ba2NaHRh.

Unit cell a=5.817 b=5.817 c=3.919 alpha=90.00 beta=90.00 gamma=90.00
Sites, in units of the cell vectors:
Ba (0.000, 0.500, 0.000)
Ba (0.500, 0.000, 0.000)
Na (0.000, 0.000, 0.500)
H (0.500, 0.500, 0.000)
Rh (0.500, 0.500, 0.500)

Output
Mass density (g cm⁻³): 5.0

Q:
## Ba2NaHRh (PBE)

Data for an optimized crystal structure of Ba2NaHRh.

Unit cell a=5.422 b=5.422 c=4.459 alpha=90.00 beta=90.00 gamma=90.00
Sites, in units of the cell vectors:
Ba (0.000, 0.500, 0.000)
Ba (0.500, 0.000, 0.000)
Na (0.000, 0.000, 0.500)
H (0.000, 0.000, 0.000)
Rh (0.500, 0.500, 0.500)

Output
Mass density (g cm⁻³): 5.1

Name the most stable of them. P.

P:
## BaNa2SbH (PBE)

Data for an optimized crystal structure of BaNa2SbH.

Unit cell a=4.995 b=4.995 c=5.435 alpha=90.00 beta=90.00 gamma=90.00
Sites, in units of the cell vectors:
Ba (0.000, 0.000, 0.000)
Na (0.000, 0.500, 0.500)
Na (0.500, 0.000, 0.500)
Sb (0.500, 0.500, 0.000)
H (0.000, 0.000, 0.500)

Output
Mass density (g cm⁻³): 3.7

Q:
## BaNa2SbH (PBE)

Data for an optimized crystal structure of BaNa2SbH.

Unit cell a=6.792 b=6.792 c=9.217 alpha=90.00 beta=90.00 gamma=137.84
Sites, in units of the cell vectors:
Ba (0.059, 0.941, 0.750)
Ba (0.941, 0.059, 0.250)
Na (0.335, 0.665, 0.561)
Na (0.335, 0.665, 0.939)
Na (0.665, 0.335, 0.061)
Na (0.665, 0.335, 0.439)
Sb (0.229, 0.771, 0.250)
Sb (0.771, 0.229, 0.750)
H (0.500, 0.500, 0.000)
H (0.500, 0.500, 0.500)

Output
Mass density (g cm⁻³): 3.6

Name the most stable of them. P.

P:
## Ba2NaSiH (PBE)

Data for an optimized crystal structure of Ba2NaSiH.

Unit cell a=5.480 b=5.480 c=4.690 alpha=90.00 beta=90.00 gamma=90.00
Sites, in units of the cell vectors:
Ba (0.000, 0.500, 0.000)
Ba (0.500, 0.000, 0.000)
Na (0.000, 0.000, 0.500)
Si (0.500, 0.500, 0.500)
H (0.000, 0.000, 0.000)

Output
Mass density (g cm⁻³): 3.9

Q:
## Ba2NaSiH (PBE)

Data for an optimized crystal structure of Ba2NaSiH.

Unit cell a=5.861 b=5.861 c=4.201 alpha=90.00 beta=90.00 gamma=90.00
Sites, in units of the cell vectors:
Ba (0.000, 0.500, 0.000)
Ba (0.500, 0.000, 0.000)
Na (0.000, 0.000, 0.500)
Si (0.500, 0.500, 0.500)
H (0.500, 0.500, 0.000)

Output
Mass density (g cm⁻³): 3.8

Name the most stable of them. P.

P:
## Ba2NaSnH (PBE)

Data for an optimized crystal structure of Ba2NaSnH.

Unit cell a=5.927 b=5.927 c=4.613 alpha=90.00 beta=90.00 gamma=90.00
Sites, in units of the cell vectors:
Ba (0.000, 0.500, 0.000)
Ba (0.500, 0.000, 0.000)
Na (0.000, 0.000, 0.500)
Sn (0.500, 0.500, 0.500)
H (0.500, 0.500, 0.000)

Output
Mass density (g cm⁻³): 4.3

Q:
## Ba2NaSnH (PBE)

Data for an optimized crystal structure of Ba2NaSnH.

Unit cell a=5.615 b=5.615 c=4.912 alpha=90.00 beta=90.00 gamma=90.00
Sites, in units of the cell vectors:
Ba (0.000, 0.500, 0.000)
Ba (0.500, 0.000, 0.000)
Na (0.000, 0.000, 0.500)
Sn (0.500, 0.500, 0.500)
H (0.000, 0.000, 0.000)

Output
Mass density (g cm⁻³): 4.5

Name the most stable of them. Q.

P:
## Ba2NaSrH (PBE)

Data for an optimized crystal structure of Ba2NaSrH.

Unit cell a=5.799 b=5.799 c=6.214 alpha=90.00 beta=90.00 gamma=90.00
Sites, in units of the cell vectors:
Ba (0.000, 0.500, 0.000)
Ba (0.500, 0.000, 0.000)
Na (0.000, 0.000, 0.500)
Sr (0.500, 0.500, 0.500)
H (0.000, 0.000, 0.000)

Output
Mass density (g cm⁻³): 3.1

Q:
## Ba2NaSrH (PBE)

Data for an optimized crystal structure of Ba2NaSrH.

Unit cell a=6.026 b=6.026 c=5.655 alpha=90.00 beta=90.00 gamma=90.00
Sites, in units of the cell vectors:
Ba (0.000, 0.500, 0.000)
Ba (0.500, 0.000, 0.000)
Na (0.000, 0.000, 0.500)
Sr (0.500, 0.500, 0.500)
H (0.500, 0.500, 0.000)

Output
Mass density (g cm⁻³): 3.1

Name the most stable of them. Q.